## Zn2HgPb (GGA-PBE)

Data for crystalline Zn2HgPb at its relaxed geometry.

Cell: 3.662 4.705 5.441 Å, 90.00 90.00 90.00°
Fractional coordinates of all 4 atoms:
Zn (0.000, 0.000, 0.242)
Zn (0.000, 0.000, 0.758)
Hg (0.000, 0.500, 0.500)
Pb (0.500, 0.500, 0.000)

Computed properties:
- energy relative to the elements (meV per atom) = 127
- ρ (g/cm3) = 9.541
- V (Å³ per cell) = 93.7
- total magnetic moment (μB per atom) = 0.000
- D(E_F) (states/eV/f.u.) = 1.88
- symmetry = Pmmm (47)
- total DFT energy (no corrections) (eV/f.u.) = -6.0